[1]
A relaxed InPd2Pt2 crystal. Source: Alexandria, functional PBE-GGA.

a b c (Å): 6.9664 6.9664 3.6420
angles (deg): 90.00 90.00 90.00
Sites, in units of the cell vectors:
1 Pt 0.8633 0.6367 0.0000
2 Pt 0.1367 0.3633 0.0000
3 Pd 0.3403 0.1597 0.5000
4 Pd 0.6597 0.8403 0.5000
5 Pd 0.8403 0.3403 0.5000
6 Pt 0.6367 0.1367 0.0000
7 In 0.0000 0.0000 0.0000
8 In 0.5000 0.5000 0.0000
9 Pt 0.3633 0.8633 0.0000
10 Pd 0.1597 0.6597 0.5000

Properties
- N(E_F) (states/eV/atom) = 0.973
- SG = P4/mbm, No. 127
- calculated volume (Å³/atom) = 17.7



[2]
A relaxed In2Pd3Pt4 crystal. Source: Alexandria, functional PBE-GGA.

a b c (Å): 4.0588 4.9620 8.4969
angles (deg): 72.93 89.91 65.81
Sites, in units of the cell vectors:
1 Pt 0.6664 0.6670 0.8891
2 Pt 0.0022 0.9955 0.6649
3 In 0.6662 0.6672 0.2239
4 Pd 0.3356 0.3283 0.4469
5 Pt 0.3336 0.3330 0.1109
6 Pd 0.6644 0.6717 0.5531
7 In 0.3338 0.3328 0.7761
8 Pd 0.0000 0.0000 0.0000
9 Pt 0.9978 0.0045 0.3351

Properties
- N(E_F) (states/eV/atom) = 0.730
- SG = P-1, No. 2
- calculated volume (Å³/atom) = 16.4



How do the records compare in energy above the most stable polymorph in this dataset? In the order shown, they have 0 0 meV per atom.